The following is a GGA-PBE calculation of an optimized crystal structure of BPd6Se2, from the Alexandria database.

The space group is P2_1/c (No. 14) and the conventional cell measures 5.674, 5.753 and 9.414 Å, with angles of 90.00, 107.06 and 90.00 degrees. Symmetry generates all atoms from B at (0.000, 0.000, 0.000), Pd at (0.040, 0.074, 0.227), Pd at (0.203, 0.687, 0.040), Pd at (0.322, 0.189, 0.014) and Se at (0.365, 0.104, 0.760).

For the energy above the most stable polymorph in this dataset, the calculation gives 11 meV per atom. The value obtained for the density of states at the Fermi level is 7.34 states/eV per cell. The formation energy without anion corrections comes out at -0.19 eV per atom.

=====

The following is a GGA-PBE calculation of an optimized crystal structure of RbTaCl2, from the Alexandria database.

The space group is Fm-3m (No. 225) and the conventional cell measures 7.520, 7.520 and 7.520 Å, with angles of 90.00, 90.00 and 90.00 degrees. Symmetry generates all atoms from Rb at (0.000, 0.000, 0.000), Ta at (0.000, 0.000, 0.500) and Cl at (0.250, 0.250, 0.250).

For the energy above the most stable polymorph in this dataset, the calculation gives 689 meV per atom. The value obtained for the density of states at the Fermi level is 15.73 states/eV per cell. The formation energy without anion corrections comes out at 0.27 eV per atom.

=====

Q: The lowest formation energy without anion corrections belongs to which entry?
A: BPd6Se2

=====

Q: Which of these has the highest energy above the most stable polymorph in this dataset?
A: RbTaCl2

=====

Q: Which value of formation energy without anion corrections does entry 2 give?
A: 0.27 eV per atom